# 1
80
Lattice="-6.306 6.306 6.306 6.306 -6.306 6.306 6.306 6.306 -6.306" Properties=species:S:1:pos:R:3 comment="Y3Ti5O12 (GGA-PBE, optimized geometry)" m_tot_mub_per_atom=0.21 formation_energy_uncorrected_kj_per_mol_fu=-5871 pbc="T T T"
Y 3.153 1.577 0.000
Y 6.306 3.153 -1.577
Y 1.577 0.000 3.153
Y 7.883 0.000 3.153
Y 0.000 3.153 1.577
Y 3.153 -1.577 6.306
Y 3.153 7.883 0.000
Y 6.306 3.153 4.730
Y -1.577 6.306 3.153
Y 4.730 6.306 3.153
Y 0.000 3.153 7.883
Y 3.153 4.730 6.306
Ti 0.000 0.000 0.000
Ti 3.153 3.153 -3.153
Ti 3.153 -3.153 3.153
Ti 6.306 0.000 0.000
Ti 9.460 1.577 0.000
Ti 6.306 -3.153 4.730
Ti 4.730 6.306 -3.153
Ti 4.730 0.000 3.153
Ti 3.153 4.730 0.000
Ti 6.306 3.153 1.577
Ti -3.153 3.153 3.153
Ti 0.000 6.306 0.000
Ti 0.000 0.000 6.306
Ti 3.153 3.153 3.153
Ti 0.000 3.153 4.730
Ti 3.153 1.577 6.306
Ti 1.577 6.306 3.153
Ti 1.577 0.000 9.460
Ti 0.000 9.460 1.577
Ti -3.153 4.730 6.306
O 1.925 -0.351 0.730
O 7.535 3.883 -3.504
O 8.231 0.351 0.730
O 7.535 -2.423 3.504
O 5.956 -0.730 1.925
O 9.810 -1.229 2.423
O 0.730 1.925 -0.351
O 8.730 2.803 -1.229
O 3.883 3.504 -1.229
O 5.576 1.925 0.351
O -0.351 0.730 1.925
O 3.504 -1.229 3.883
O 5.956 5.576 -1.925
O 3.504 1.229 2.423
O 3.883 -3.504 7.535
O 5.576 -1.925 5.956
O 2.423 3.504 1.229
O 7.036 4.382 0.351
O 3.504 7.535 -2.423
O 5.956 0.730 4.382
O 1.925 5.956 -0.730
O 7.535 2.423 2.803
O 1.229 2.423 3.504
O 1.925 0.351 5.576
O 4.382 5.956 0.730
O 5.078 3.883 2.803
O -1.229 3.883 3.504
O 4.382 0.351 7.036
O 0.351 5.576 1.925
O 2.803 -1.229 8.730
O -0.730 1.925 5.956
O 3.883 2.803 5.078
O 0.730 8.231 0.351
O 2.423 9.810 -1.229
O 2.803 5.078 3.883
O 0.351 0.730 8.231
O 2.803 7.535 2.423
O 6.657 5.576 4.382
O 0.730 4.382 5.956
O 2.423 2.803 7.535
O -2.423 3.504 7.535
O 5.576 4.382 6.657
O -3.504 7.535 3.883
O 0.351 7.036 4.382
O -1.229 8.730 2.803
O -1.925 5.956 5.576
O -1.229 2.423 9.810
O 4.382 6.657 5.576


# 2
22
Lattice="0.000 5.093 5.093 5.093 0.000 5.093 5.093 5.093 0.000" Properties=species:S:1:pos:R:3 comment="Y2Ti2O7 (GGA-PBE, optimized geometry)" m_tot_mub_per_atom=0.00 formation_energy_uncorrected_kj_per_mol_fu=-3512 pbc="T T T"
Y 0.000 0.000 0.000
Y 2.547 2.547 0.000
Y 2.547 0.000 2.547
Y 0.000 2.547 2.547
Ti 5.093 2.547 2.547
Ti 2.547 5.093 2.547
Ti 2.547 2.547 5.093
Ti 5.093 5.093 5.093
O 1.273 1.273 1.273
O 3.820 3.820 1.736
O 3.820 1.736 3.820
O 5.904 3.820 3.820
O 6.367 6.367 4.283
O 6.367 4.283 6.367
O 8.451 6.367 6.367
O 1.736 3.820 3.820
O 3.820 5.904 3.820
O 3.820 3.820 5.904
O 4.283 6.367 6.367
O 6.367 8.451 6.367
O 6.367 6.367 8.451
O 8.913 8.913 8.913


no.,ρ (g/cm³)
1,4.6
2,4.8